# 1
First-principles (PBE) data for AgGeTeBr after structural relaxation, as listed in Alexandria via LeMat-Bulk.

Summary:
Space group: No. 8
Calculated total energy (hartree per atom): -0.11815

Cell lengths 4.002, 3.996, 8.609 Å; angles 103.52, 90.00, 120.05 degrees
Positions (direct):
Ge (0.531, 0.063, 0.838)
Te (0.134, 0.267, 0.647)
Ag (0.937, 0.874, 0.060)
Br (0.328, 0.655, 0.231)

# 2
First-principles (PBE) data for ZnIn2PbF6 after structural relaxation, as listed in Alexandria via LeMat-Bulk.

Summary:
Space group: No. 1
Calculated total energy (hartree per atom): -0.15487

Cell lengths 5.931, 5.867, 7.463 Å; angles 119.28, 122.26, 89.37 degrees
Positions (direct):
In (0.311, 0.785, 0.589)
In (0.745, 0.283, 0.568)
F (0.709, 0.695, 0.561)
F (0.155, 0.680, 0.960)
F (0.289, 0.171, 0.969)
F (0.251, 0.261, 0.382)
F (0.673, 0.787, 0.932)
F (0.738, 0.225, 0.889)
Pb (0.613, 0.604, 0.151)
Zn (0.015, 0.013, 0.996)

Formation energy (no corrections) / eV/atom: -0.144, -2.045